The following is a PBE calculation of a geometry-optimized Rb3In2SnI6 structure, from Alexandria via LeMat-Bulk.

## Properties
energy relative to the elements, uncorrected = -834 meV/atom
magnetic moment = 1.01 μB/f.u.
Fermi-level density of states = 3.9 states/eV per cell
crystal system = monoclinic

Cell lengths 8.7716, 16.5534, 8.4458 Å; angles 90.00, 112.73, 90.00 degrees
Space group C2/m (No. 12)
Inequivalent atoms, fractional coordinates:
1 Rb 0.0000 0.0000 0.0000 (multiplicity 2)
2 Rb 0.0000 0.3344 0.0000 (multiplicity 4)
3 In 0.0000 0.1706 0.5000 (multiplicity 4)
4 Sn 0.0000 0.5000 0.5000 (multiplicity 2)
5 I 0.2376 0.5000 0.2812 (multiplicity 4)
6 I 0.2387 0.3300 0.7279 (multiplicity 8)

The following is a PBE calculation of a geometry-optimized Rb2InSnI4 structure, from Alexandria via LeMat-Bulk.

## Properties
energy relative to the elements, uncorrected = -802 meV/atom
magnetic moment = 0.63 μB/f.u.
Fermi-level density of states = 3.3 states/eV per cell
crystal system = tetragonal

Cell lengths 7.2088, 7.2088, 14.2677 Å; angles 90.00, 90.00, 90.00 degrees
Space group I-4m2 (No. 119)
Inequivalent atoms, fractional coordinates:
1 Rb 0.0000 0.0000 0.0000 (multiplicity 2)
2 Rb 0.0000 0.5000 0.2500 (multiplicity 2)
3 In 0.0000 0.5000 0.7500 (multiplicity 2)
4 Sn 0.0000 0.0000 0.5000 (multiplicity 2)
5 I 0.0000 0.0000 0.2697 (multiplicity 4)
6 I 0.0000 0.5000 0.5068 (multiplicity 4)

The following is a PBE calculation of a geometry-optimized Rb4InSn3I12 structure, from Alexandria via LeMat-Bulk.

## Properties
energy relative to the elements, uncorrected = -871 meV/atom
magnetic moment = 0.00 μB/f.u.
Fermi-level density of states = 1.2 states/eV per cell
crystal system = cubic

Cell lengths 12.4336, 12.4336, 12.4336 Å; angles 90.00, 90.00, 90.00 degrees
Space group Im-3m (No. 229)
Inequivalent atoms, fractional coordinates:
1 Rb 0.2500 0.2500 0.2500 (multiplicity 8)
2 In 0.0000 0.0000 0.0000 (multiplicity 2)
3 Sn 0.0000 0.0000 0.5000 (multiplicity 6)
4 I 0.0000 0.0000 0.2496 (multiplicity 12)
5 I 0.0000 0.2500 0.5000 (multiplicity 12)

The following is a PBE calculation of a geometry-optimized Rb3In3SnI8 structure, from Alexandria via LeMat-Bulk.

## Properties
energy relative to the elements, uncorrected = -877 meV/atom
magnetic moment = 0.00 μB/f.u.
Fermi-level density of states = 0.0 states/eV per cell
crystal system = trigonal

Cell lengths 10.0651, 10.0651, 25.6655 Å; angles 90.00, 90.00, 120.00 degrees
Space group R-3m (No. 166, hexagonal axes)
Inequivalent atoms, fractional coordinates:
1 Rb 0.0000 0.5000 0.0000 (multiplicity 9)
2 In 0.0000 0.5000 0.5000 (multiplicity 9)
3 Sn 0.0000 0.0000 0.5000 (multiplicity 3)
4 I 0.0000 0.0000 0.2452 (multiplicity 6)
5 I 0.0269 0.5134 0.2388 (multiplicity 18)

The following is a PBE calculation of a geometry-optimized Rb3InSn2I9 structure, from Alexandria via LeMat-Bulk.

## Properties
energy relative to the elements, uncorrected = -864 meV/atom
magnetic moment = 0.00 μB/f.u.
Fermi-level density of states = 3.7 states/eV per cell
crystal system = trigonal

Cell lengths 8.7702, 8.7702, 10.8487 Å; angles 90.00, 90.00, 120.00 degrees
Space group P-3m1 (No. 164)
Inequivalent atoms, fractional coordinates:
1 Rb 0.0000 0.0000 0.0000 (multiplicity 1)
2 Rb 0.3333 0.6667 0.7079 (multiplicity 2)
3 In 0.0000 0.0000 0.5000 (multiplicity 1)
4 Sn 0.3333 0.6667 0.1749 (multiplicity 2)
5 I 0.0000 0.5000 0.0000 (multiplicity 3)
6 I 0.1639 0.3277 0.3280 (multiplicity 6)

The following is a PBE calculation of a geometry-optimized Rb2SrInI6 structure, from Alexandria via LeMat-Bulk.

## Properties
energy relative to the elements, uncorrected = -1168 meV/atom
magnetic moment = 0.00 μB/f.u.
Fermi-level density of states = 9.3 states/eV per cell
crystal system = tetragonal

Cell lengths 8.9921, 8.9921, 12.8046 Å; angles 90.00, 90.00, 90.00 degrees
Space group I4mm (No. 107)
Inequivalent atoms, fractional coordinates:
1 Rb 0.0000 0.5000 0.0000 (multiplicity 4)
2 Sr 0.0000 0.0000 0.3070 (multiplicity 2)
3 In 0.0000 0.0000 0.8079 (multiplicity 2)
4 I 0.0000 0.0000 0.0565 (multiplicity 2)
5 I 0.0000 0.0000 0.5677 (multiplicity 2)
6 I 0.2452 0.2452 0.8261 (multiplicity 8)

What did the third record say?
The following is a PBE calculation of a geometry-optimized Rb4InSn3I12 structure, from Alexandria via LeMat-Bulk.

## Properties
energy relative to the elements, uncorrected = -871 meV/atom
magnetic moment = 0.00 μB/f.u.
Fermi-level density of states = 1.2 states/eV per cell
crystal system = cubic

Cell lengths 12.4336, 12.4336, 12.4336 Å; angles 90.00, 90.00, 90.00 degrees
Space group Im-3m (No. 229)
Inequivalent atoms, fractional coordinates:
1 Rb 0.2500 0.2500 0.2500 (multiplicity 8)
2 In 0.0000 0.0000 0.0000 (multiplicity 2)
3 Sn 0.0000 0.0000 0.5000 (multiplicity 6)
4 I 0.0000 0.0000 0.2496 (multiplicity 12)
5 I 0.0000 0.2500 0.5000 (multiplicity 12)

Look up the Fermi-level density of states of the fourth one.
0.0 states/eV per cell

What did the fifth record say?
The following is a PBE calculation of a geometry-optimized Rb3InSn2I9 structure, from Alexandria via LeMat-Bulk.

## Properties
energy relative to the elements, uncorrected = -864 meV/atom
magnetic moment = 0.00 μB/f.u.
Fermi-level density of states = 3.7 states/eV per cell
crystal system = trigonal

Cell lengths 8.7702, 8.7702, 10.8487 Å; angles 90.00, 90.00, 120.00 degrees
Space group P-3m1 (No. 164)
Inequivalent atoms, fractional coordinates:
1 Rb 0.0000 0.0000 0.0000 (multiplicity 1)
2 Rb 0.3333 0.6667 0.7079 (multiplicity 2)
3 In 0.0000 0.0000 0.5000 (multiplicity 1)
4 Sn 0.3333 0.6667 0.1749 (multiplicity 2)
5 I 0.0000 0.5000 0.0000 (multiplicity 3)
6 I 0.1639 0.3277 0.3280 (multiplicity 6)